Record 1
A plane-wave DFT calculation with GGA-PBE was carried out for an optimized crystal structure of ZrPt3.

Calculated values
- space group = P6_3/mmc, No. 194
- E_form (eV/f.u.) = -4.089

Cell lengths 5.734, 5.734, 4.685 Å; angles 90.00, 90.00, 120.00 degrees
Fractional positions:
Zr  0.333  0.667  0.250
Zr  0.667  0.333  0.750
Pt  0.164  0.328  0.750
Pt  0.164  0.836  0.750
Pt  0.328  0.164  0.250
Pt  0.672  0.836  0.750
Pt  0.836  0.164  0.250
Pt  0.836  0.672  0.250


Record 2
A plane-wave DFT calculation with GGA-PBE was carried out for an optimized crystal structure of ZnFe2CuN.

Calculated values
- space group = P4/mmm, No. 123
- uncorrected formation energy (meV/atom) = 28

Cell lengths 3.785, 3.785, 3.934 Å; angles 90.00, 90.00, 90.00 degrees
Fractional positions:
Zn  0.000  0.000  0.000
Fe  0.000  0.500  0.500
Fe  0.500  0.000  0.500
Cu  0.500  0.500  0.000
N  0.500  0.500  0.500


Number 1: volume 16.67 Å³ per atom. Number 2: volume 11.27 Å³ per atom.